Entry 1:
SrFe2W: relaxed, PBE-GGA.

Computed properties:
The total energy comes out at -7.30 eV per atom.

Unit cell a=4.0311 b=4.0311 c=17.7565 alpha=90.00 beta=90.00 gamma=120.00
Space group R3m (No. 160, hexagonal axes)
Unique sites:
Sr1 0.0000 0.0000 0.0000 (multiplicity 3)
Fe1 0.0000 0.0000 0.4728 (multiplicity 3)
Fe2 0.0000 0.0000 0.8049 (multiplicity 3)
W1 0.0000 0.0000 0.1877 (multiplicity 3)



Entry 2:
NaSr2Cd2: relaxed, PBE-GGA.

Computed properties:
The total energy comes out at -1.39 eV per atom.

Unit cell a=6.495 b=6.495 c=9.195 alpha=90.00 beta=90.00 gamma=90.00
Space group I4/mmm (No. 139)
Unique sites:
Na1 0.000 0.000 0.000 (multiplicity 2)
Sr1 0.000 0.500 0.250 (multiplicity 4)
Cd1 0.000 0.000 0.350 (multiplicity 4)